Run 1
This record from the Alexandria database describes an optimized crystal structure of KMgTc3. The functional is GGA-PBE.

Output
M_tot: 3.2 μB per cell
DOS(E_F): 6.047 states/eV/cell

```
data_KMgTc3
_symmetry_space_group_name_H-M 'P m -3 m'
_symmetry_Int_Tables_number 221
_symmetry_space_group_name_Hall '-P 4 2 3'
_cell_length_a 4.588
_cell_length_b 4.588
_cell_length_c 4.588
_cell_angle_alpha 90.00
_cell_angle_beta 90.00
_cell_angle_gamma 90.00
loop_
_atom_site_label
_atom_site_type_symbol
_atom_site_fract_x
_atom_site_fract_y
_atom_site_fract_z
K1 K 0.000 0.000 0.000
Mg1 Mg 0.500 0.500 0.500
Tc1 Tc 0.000 0.000 0.500
```

Run 2
This record from the Alexandria database describes an optimized crystal structure of KMgTc3. The functional is GGA-PBE.

Output
M_tot: 6.6 μB per cell
DOS(E_F): 5.216 states/eV/cell

```
data_KMgTc3
_symmetry_space_group_name_H-M 'P m -3 m'
_symmetry_Int_Tables_number 221
_symmetry_space_group_name_Hall '-P 4 2 3'
_cell_length_a 4.869
_cell_length_b 4.869
_cell_length_c 4.869
_cell_angle_alpha 90.00
_cell_angle_beta 90.00
_cell_angle_gamma 90.00
loop_
_atom_site_label
_atom_site_type_symbol
_atom_site_fract_x
_atom_site_fract_y
_atom_site_fract_z
K1 K 0.000 0.000 0.000
Mg1 Mg 0.500 0.500 0.500
Tc1 Tc 0.000 0.500 0.500
```

On energetic grounds, run 2 is preferred over the next structure by 648 meV per atom.